Record 1
Below is a relaxed structure of Li3Hg, with properties calculated at the PBE-GGA level.

abc: 3.9487 4.2458 4.2357
angles: 90.00 90.00 90.00
Last column: nearest neighbours and their distance in Å.
Positions (direct):
Hg (0.5000, 0.0000, 0.5836)  12 Li 2.89-3.00
Li (0.0000, 0.0000, 0.0831)  4 Hg 2.89-2.90, 8 Li 2.90-3.00
Li (0.0000, 0.5000, 0.5834)  8 Li 2.89-3.00, 4 Hg 2.90
Li (0.5000, 0.5000, 0.0832)  8 Li 2.89-2.90, 4 Hg 3.00

The calculation puts the energy above the most stable polymorph in this dataset at 0.019 eV per atom. The space group is Pmmm, No. 47. As for the formation energy from the elements: -1.0 eV per formula unit.



Record 2
Below is a relaxed structure of KRuSe2Br, with properties calculated at the PBE-GGA level.

abc: 5.7744 5.7744 5.6826
angles: 90.00 90.00 90.00
Last column: nearest neighbours and their distance in Å.
Positions (direct):
Ru (0.5000, 0.5000, 0.5000)  8 Se 4.05, 4 Br 4.08
K (0.0000, 0.0000, 0.0000)  2 Br 2.84, 4 Se 2.89
Se (0.0000, 0.5000, 0.0000)  2 K 2.89
Se (0.5000, 0.0000, 0.0000)  2 K 2.89
Br (0.0000, 0.0000, 0.5000)  2 K 2.84

The formation energy from raw total energies is 1.351 eV/atom. The calculation puts the energy above the most stable polymorph in this dataset at 1.699 eV per atom. The space group is P4/mmm, No. 123.



Record 3
Below is a relaxed structure of LiPu3Np2S6, with properties calculated at the PBE-GGA level.

abc: 3.9332 5.7274 12.8864
angles: 67.05 98.78 90.00
Last column: nearest neighbours and their distance in Å.
Positions (direct):
Li (0.5000, 0.0000, 0.0000)  4 S 2.57, 2 Pu 2.86
Pu (0.5000, 0.5000, 0.0000)  6 S 2.74-3.01, 2 Li 2.86
Pu (0.6293, 0.9585, 0.2586)  6 S 2.75-2.89
Pu (0.3707, 0.0415, 0.7414)  6 S 2.75-2.89
Np (0.7948, 0.6697, 0.5895)  6 S 2.77-2.87
Np (0.2052, 0.3303, 0.4105)  6 S 2.77-2.87
S (0.3798, 0.5226, 0.7595)  2 Np 2.80, 3 Pu 2.85-3.01
S (0.7887, 0.1799, 0.5774)  2 Pu 2.75, 4 Np 2.77-2.87
S (0.6202, 0.4774, 0.2405)  2 Np 2.80, 3 Pu 2.85-3.01
S (0.0453, 0.1440, 0.0906)  2 Li 2.57, 4 Pu 2.74-2.79
S (0.9547, 0.8560, 0.9094)  2 Li 2.57, 4 Pu 2.74-2.79
S (0.2113, 0.8201, 0.4226)  2 Pu 2.75, 4 Np 2.77-2.87

The formation energy from raw total energies is -1.364 eV/atom. The space group is C2/m, No. 12.



Record 4
Below is a relaxed structure of Ce3ZnGe2Au6, with properties calculated at the PBE-GGA level.

abc: 6.2116 6.2116 8.2984
angles: 90.00 90.00 120.00
Last column: nearest neighbours and their distance in Å.
Positions (direct):
Ce (0.3333, 0.6667, 0.6421)  9 Au 3.17-3.41, 1 Ge 3.25
Ce (0.6667, 0.3333, 0.3579)  9 Au 3.17-3.41, 1 Ge 3.25
Ce (0.0000, 0.0000, 0.0000)  6 Au 3.03
Zn (0.0000, 0.0000, 0.5000)  6 Au 2.61
Ge (0.6667, 0.3333, 0.9660)  3 Au 2.67
Ge (0.3333, 0.6667, 0.0340)  3 Au 2.67
Au (0.6462, 0.8231, 0.2841)  1 Zn 2.61, 1 Ge 2.67, 2 Au 2.91
Au (0.1769, 0.3538, 0.2841)  1 Zn 2.61, 1 Ge 2.67, 2 Au 2.91
Au (0.1769, 0.8231, 0.2841)  1 Zn 2.61, 1 Ge 2.67, 2 Au 2.91
Au (0.8231, 0.6462, 0.7159)  1 Zn 2.61, 1 Ge 2.67, 2 Au 2.91
Au (0.3538, 0.1769, 0.7159)  1 Zn 2.61, 1 Ge 2.67, 2 Au 2.91
Au (0.8231, 0.1769, 0.7159)  1 Zn 2.61, 1 Ge 2.67, 2 Au 2.91

The space group is P-3m1, No. 164. As for the formation energy from the elements: -4.5 eV per formula unit.



Record 5
Below is a relaxed structure of Mg4AsS2, with properties calculated at the PBE-GGA level.

abc: 4.9961 4.9961 7.5239
angles: 70.61 70.61 90.00
Last column: nearest neighbours and their distance in Å.
Positions (direct):
Mg (0.8019, 0.8019, 0.3962)  1 S 2.37, 1 As 2.63
Mg (0.1981, 0.1981, 0.6038)  1 S 2.37, 1 As 2.63
Mg (0.0000, 0.5000, 0.0000)  2 As 2.50
Mg (0.5000, 0.0000, 0.0000)  2 As 2.50
As (0.0000, 0.0000, 0.0000)  6 Mg 2.50-2.63
S (0.6235, 0.6235, 0.7530)  1 Mg 2.37
S (0.3765, 0.3765, 0.2470)  1 Mg 2.37

The formation energy from raw total energies is -0.534 eV/atom. The space group is I4/mmm, No. 139.



Record 6
Below is a relaxed structure of RbCo3Ag, with properties calculated at the PBE-GGA level.

abc: 4.9424 4.9424 4.9424
angles: 90.00 90.00 90.00
Last column: nearest neighbours and their distance in Å.
Positions (direct):
Co (0.0000, 0.5000, 0.0000)  2 Ag 2.47
Co (0.0000, 0.0000, 0.5000)  2 Ag 2.47
Co (0.5000, 0.0000, 0.0000)  2 Ag 2.47
Rb (0.5000, 0.5000, 0.5000)  12 Co 3.49
Ag (0.0000, 0.0000, 0.0000)  6 Co 2.47

The calculation puts the energy above the most stable polymorph in this dataset at 0.000 eV per atom. The space group is Pm-3m, No. 221. As for the formation energy from the elements: 7.5 eV per formula unit.



Record 7
Below is a relaxed structure of BaLa2CdCo, with properties calculated at the PBE-GGA level.

abc: 5.3854 5.3854 5.4444
angles: 90.00 90.00 90.00
Last column: nearest neighbours and their distance in Å.
Positions (direct):
Cd (0.0000, 0.0000, 0.5000)  2 Co 2.72
Co (0.0000, 0.0000, 0.0000)  4 La 2.69, 2 Cd 2.72
Ba (0.5000, 0.5000, 0.5000)  4 Cd 3.81, 8 La 3.83
La (0.0000, 0.5000, 0.0000)  2 Co 2.69
La (0.5000, 0.0000, 0.0000)  2 Co 2.69

The calculation puts the energy above the most stable polymorph in this dataset at 0.000 eV per atom. The space group is P4/mmm, No. 123. As for the formation energy from the elements: -0.4 eV per formula unit.



Record 8
Below is a relaxed structure of Ca3Al2, with properties calculated at the PBE-GGA level.

abc: 13.2969 13.2969 13.2969
angles: 15.87 15.87 15.87
Last column: nearest neighbours and their distance in Å.
Positions (direct):
Ca (0.0000, 0.0000, 0.0000)  6 Al 3.25
Ca (0.7904, 0.7904, 0.7904)  3 Al 3.21
Ca (0.2096, 0.2096, 0.2096)  3 Al 3.21
Al (0.3959, 0.3959, 0.3959)  6 Ca 3.21-3.25
Al (0.6041, 0.6041, 0.6041)  6 Ca 3.21-3.25

The calculation puts the energy above the most stable polymorph in this dataset at 0.229 eV per atom. The space group is R-3m, No. 166. As for the formation energy from the elements: 0.1 eV per formula unit.



Record 9
Below is a relaxed structure of Zn2CrCu, with properties calculated at the PBE-GGA level.

abc: 4.4140 4.4140 4.4140
angles: 125.38 125.38 80.91
Last column: nearest neighbours and their distance in Å.
Positions (direct):
Cr (0.5000, 0.5000, 0.0000)  8 Zn 2.63-2.86, 4 Cu 2.63
Cu (0.7500, 0.2500, 0.5000)  4 Cr 2.63, 8 Zn 2.63-2.86
Zn (0.0000, 0.0000, 0.0000)  4 Cu 2.63, 4 Zn 2.63, 4 Cr 2.86
Zn (0.2500, 0.7500, 0.5000)  4 Zn 2.63, 4 Cr 2.63, 4 Cu 2.86

The space group is I-4m2, No. 119. As for the formation energy from the elements: 0.5 eV per formula unit.



Record 10
Below is a relaxed structure of YReTe2I, with properties calculated at the PBE-GGA level.

abc: 5.8775 5.8775 5.9369
angles: 90.00 90.00 90.00
Last column: nearest neighbours and their distance in Å.
Positions (direct):
I (0.0000, 0.0000, 0.5000)  2 Y 2.97
Re (0.5000, 0.5000, 0.5000)  4 I 4.16, 8 Te 4.18
Te (0.0000, 0.5000, 0.0000)  2 Y 2.94
Te (0.5000, 0.0000, 0.0000)  2 Y 2.94
Y (0.0000, 0.0000, 0.0000)  4 Te 2.94, 2 I 2.97

The formation energy from raw total energies is 0.790 eV/atom. The calculation puts the energy above the most stable polymorph in this dataset at 0.413 eV per atom. The space group is P4/mmm, No. 123.



Record 11
Below is a relaxed structure of NbCoRu2Rh, with properties calculated at the PBE-GGA level.

abc: 4.6336 4.4077 4.6336
angles: 90.00 90.00 90.00
Last column: nearest neighbours and their distance in Å.
Positions (direct):
Ru (0.0000, 0.0000, 0.5000)  2 Nb 2.32
Ru (0.5000, 0.0000, 0.0000)  2 Nb 2.32
Nb (0.0000, 0.0000, 0.0000)  2 Co 2.20, 4 Ru 2.32
Rh (0.5000, 0.5000, 0.5000)  8 Ru 3.20, 4 Co 3.28
Co (0.0000, 0.5000, 0.0000)  2 Nb 2.20

The space group is P4/mmm, No. 123. As for the formation energy from the elements: 8.2 eV per formula unit.



Record 12
Below is a relaxed structure of PaTa2Ga, with properties calculated at the PBE-GGA level.

abc: 3.7221 4.5408 4.5408
angles: 90.00 90.00 90.00
Last column: nearest neighbours and their distance in Å.
Positions (direct):
Pa (0.5000, 0.0000, 0.0000)  8 Ta 2.94, 4 Ga 3.21
Ga (0.5000, 0.5000, 0.5000)  8 Ta 2.94, 4 Pa 3.21
Ta (0.0000, 0.0000, 0.5000)  4 Ga 2.94, 4 Pa 2.94, 4 Ta 3.21
Ta (0.0000, 0.5000, 0.0000)  4 Ga 2.94, 4 Pa 2.94, 4 Ta 3.21

The calculation puts the energy above the most stable polymorph in this dataset at 0.000 eV per atom. The space group is P4/mmm, No. 123. As for the formation energy from the elements: 0.1 eV per formula unit.